(1)
First-principles (PBE) data for crystalline Ce3Ni3Pt5 at its relaxed geometry, as listed in Alexandria via LeMat-Bulk.

Properties
VASP energy	-0.46976	Ry/atom

Geometry as POSCAR:
```
Ce3Ni3Pt5
1.0
8.2342 0.0000 0.0000
-4.1171 7.1310 0.0000
0.0000 0.0000 3.8771
Ce Ni Pt
3 3 5
Direct
0.0000 0.3151 0.0000
0.3151 0.0000 0.0000
0.6849 0.6849 0.0000
0.0000 0.5160 0.5000
0.4840 0.4840 0.5000
0.5160 0.0000 0.5000
0.0000 0.8100 0.5000
0.1900 0.1900 0.5000
0.3333 0.6667 0.5000
0.6667 0.3333 0.5000
0.8100 0.0000 0.5000
```

(2)
First-principles (PBE) data for crystalline BaInP2 at its relaxed geometry, as listed in Alexandria via LeMat-Bulk.

Properties
VASP energy	-0.30326	Ry/atom

Geometry as POSCAR:
```
BaInP2
1.0
4.4576 0.0000 0.0000
-2.2288 3.8604 0.0000
0.0000 0.0000 18.7886
Ba In P
3 3 6
Direct
0.0000 0.0000 0.0000
0.3333 0.6667 0.6667
0.6667 0.3333 0.3333
0.0000 0.0000 0.8079
0.3333 0.6667 0.4746
0.6667 0.3333 0.1412
0.0000 0.0000 0.2183
0.0000 0.0000 0.5560
0.3333 0.6667 0.2227
0.3333 0.6667 0.8849
0.6667 0.3333 0.5516
0.6667 0.3333 0.8893
```

(3)
First-principles (PBE) data for crystalline IrPt3 at its relaxed geometry, as listed in Alexandria via LeMat-Bulk.

Properties
VASP energy	-0.47037	Ry/atom

Geometry as POSCAR:
```
IrPt3
1.0
5.0366 0.0000 0.0000
0.0000 5.0366 0.0000
0.0000 0.0000 5.0366
Ir Pt
2 6
Direct
0.0000 0.0000 0.0000
0.5000 0.5000 0.5000
0.0000 0.2500 0.5000
0.0000 0.7500 0.5000
0.2500 0.5000 0.0000
0.5000 0.0000 0.2500
0.5000 0.0000 0.7500
0.7500 0.5000 0.0000
```

(4)
First-principles (PBE) data for crystalline DyHoGaCo at its relaxed geometry, as listed in Alexandria via LeMat-Bulk.

Properties
ΔE to the lowest computed polymorph	61.2	meV/atom

Geometry as POSCAR:
```
DyHoGaCo
1.0
6.9393 0.0000 0.0000
0.0000 6.9393 0.0000
0.0000 0.0000 6.9393
Dy Ho Ga Co
4 4 4 4
Direct
0.0000 0.0000 0.0000
0.0000 0.5000 0.5000
0.5000 0.0000 0.5000
0.5000 0.5000 0.0000
0.0000 0.0000 0.5000
0.0000 0.5000 0.0000
0.5000 0.0000 0.0000
0.5000 0.5000 0.5000
0.2500 0.2500 0.7500
0.2500 0.7500 0.2500
0.7500 0.2500 0.2500
0.7500 0.7500 0.7500
0.2500 0.2500 0.2500
0.2500 0.7500 0.7500
0.7500 0.2500 0.7500
0.7500 0.7500 0.2500
```

(5)
First-principles (PBE) data for crystalline Th5Pb3 at its relaxed geometry, as listed in Alexandria via LeMat-Bulk.

Properties
ΔE to the lowest computed polymorph	50.7	meV/atom

Geometry as POSCAR:
```
Th5Pb3
1.0
-4.1827 4.1827 7.2666
4.1827 -4.1827 7.2666
4.1827 4.1827 -7.2666
Th Pb
10 6
Direct
0.0000 0.0000 0.0000
0.0021 0.5021 0.1917
0.1896 0.9979 0.5000
0.3104 0.8104 0.8083
0.4979 0.6896 0.5000
0.5000 0.5000 0.0000
0.5021 0.3104 0.5000
0.6896 0.1896 0.1917
0.8104 0.0021 0.5000
0.9979 0.4979 0.8083
0.1411 0.3589 0.5000
0.2500 0.2500 0.0000
0.3589 0.8589 0.2179
0.6411 0.1411 0.7821
0.7500 0.7500 0.0000
0.8589 0.6411 0.5000
```

(6)
First-principles (PBE) data for crystalline CoRe2Ge at its relaxed geometry, as listed in Alexandria via LeMat-Bulk.

Properties
VASP energy	-0.57320	Ry/atom

Geometry as POSCAR:
```
CoRe2Ge
1.0
5.5528 0.0000 0.0000
0.0000 5.5528 0.0000
0.0000 0.0000 10.2788
Co Re Ge
4 8 4
Direct
0.0000 0.0000 0.0000
0.0000 0.5000 0.2500
0.5000 0.0000 0.7500
0.5000 0.5000 0.5000
0.2166 0.2500 0.1250
0.2500 0.7166 0.3750
0.2500 0.7834 0.8750
0.2834 0.2500 0.6250
0.7166 0.7500 0.6250
0.7500 0.2166 0.8750
0.7500 0.2834 0.3750
0.7834 0.7500 0.1250
0.0000 0.0000 0.5000
0.0000 0.5000 0.7500
0.5000 0.0000 0.2500
0.5000 0.5000 0.0000
```

(7)
First-principles (PBE) data for crystalline Sr3YTa at its relaxed geometry, as listed in Alexandria via LeMat-Bulk.

Properties
ΔE to the lowest computed polymorph	763.6	meV/atom

Geometry as POSCAR:
```
Sr3YTa
1.0
5.9244 0.0000 0.0000
0.0000 5.9244 0.0000
0.0000 0.0000 5.9244
Sr Y Ta
3 1 1
Direct
0.0000 0.0000 0.5000
0.0000 0.5000 0.0000
0.5000 0.0000 0.0000
0.0000 0.0000 0.0000
0.5000 0.5000 0.5000
```

(8)
First-principles (PBE) data for crystalline Hf2ZrPtO at its relaxed geometry, as listed in Alexandria via LeMat-Bulk.

Properties
VASP energy	-0.67934	Ry/atom

Geometry as POSCAR:
```
Hf2ZrPtO
1.0
4.3526 0.0000 0.0000
0.0000 4.3526 0.0000
0.0000 0.0000 4.4484
Hf Zr Pt O
2 1 1 1
Direct
0.0000 0.5000 0.0000
0.5000 0.0000 0.0000
0.0000 0.0000 0.5000
0.5000 0.5000 0.5000
0.0000 0.0000 0.0000
```

(9)
First-principles (PBE) data for crystalline AgRh2Pb at its relaxed geometry, as listed in Alexandria via LeMat-Bulk.

Properties
VASP energy	-0.38276	Ry/atom

Geometry as POSCAR:
```
AgRh2Pb
1.0
4.5709 0.0000 0.0000
0.0000 4.5709 0.0000
0.0000 0.0000 3.2997
Ag Rh Pb
1 2 1
Direct
0.0000 0.0000 0.0000
0.0000 0.5000 0.5000
0.5000 0.0000 0.5000
0.5000 0.5000 0.0000
```

(10)
First-principles (PBE) data for crystalline Tl3Fe2AgBr8 at its relaxed geometry, as listed in Alexandria via LeMat-Bulk.

Properties
VASP energy	-0.25121	Ry/atom

Geometry as POSCAR:
```
Tl3Fe2AgBr8
1.0
7.6861 0.0000 0.0000
-3.8431 6.6564 0.0000
0.0000 0.0000 9.3408
Tl Fe Ag Br
3 2 1 8
Direct
0.0000 0.0000 0.0000
0.3333 0.6667 0.6139
0.6667 0.3333 0.3861
0.3333 0.6667 0.2025
0.6667 0.3333 0.7975
0.0000 0.0000 0.5000
0.1644 0.3289 0.3034
0.1644 0.8356 0.3034
0.3289 0.1644 0.6966
0.3333 0.6667 0.9478
0.6667 0.3333 0.0522
0.6711 0.8356 0.3034
0.8356 0.1644 0.6966
0.8356 0.6711 0.6966
```

(11)
First-principles (PBE) data for crystalline AcEu2Zr at its relaxed geometry, as listed in Alexandria via LeMat-Bulk.

Properties
VASP energy	-0.57514	Ry/atom

Geometry as POSCAR:
```
AcEu2Zr
1.0
3.5744 0.0000 0.0000
-1.7872 3.0955 0.0000
0.0000 0.0000 38.5889
Ac Eu Zr
3 6 3
Direct
0.0000 0.0000 0.0000
0.3333 0.6667 0.6667
0.6667 0.3333 0.3333
0.0000 0.0000 0.4190
0.0000 0.0000 0.5810
0.3333 0.6667 0.0857
0.3333 0.6667 0.2476
0.6667 0.3333 0.7524
0.6667 0.3333 0.9143
0.0000 0.0000 0.5000
0.3333 0.6667 0.1667
0.6667 0.3333 0.8333
```

(12)
First-principles (PBE) data for crystalline TiZn4Ag2 at its relaxed geometry, as listed in Alexandria via LeMat-Bulk.

Properties
VASP energy	-0.19982	Ry/atom

Geometry as POSCAR:
```
TiZn4Ag2
1.0
2.8737 0.0000 0.0000
0.0000 27.6839 0.0000
0.0000 0.0000 2.8236
Ti Zn Ag
2 8 4
Direct
0.0000 0.0000 0.0000
0.5000 0.5000 0.0000
0.0000 0.1347 0.0000
0.0000 0.4307 0.5000
0.0000 0.5693 0.5000
0.0000 0.8653 0.0000
0.5000 0.0693 0.5000
0.5000 0.3653 0.0000
0.5000 0.6347 0.0000
0.5000 0.9307 0.5000
0.0000 0.2951 0.5000
0.0000 0.7049 0.5000
0.5000 0.2049 0.5000
0.5000 0.7951 0.5000
```

(13)
First-principles (PBE) data for crystalline YMn2Rh at its relaxed geometry, as listed in Alexandria via LeMat-Bulk.

Properties
VASP energy	-0.58907	Ry/atom

Geometry as POSCAR:
```
YMn2Rh
1.0
4.5377 0.0000 0.0000
0.0000 4.5377 0.0000
0.0000 0.0000 6.8846
Y Mn Rh
2 4 2
Direct
0.0000 0.0000 0.0000
0.5000 0.5000 0.5000
0.0000 0.0000 0.5000
0.0000 0.5000 0.7500
0.5000 0.0000 0.2500
0.5000 0.5000 0.0000
0.0000 0.5000 0.2500
0.5000 0.0000 0.7500
```

(14)
First-principles (PBE) data for crystalline LiLa2Mg at its relaxed geometry, as listed in Alexandria via LeMat-Bulk.

Properties
ΔE to the lowest computed polymorph	83.0	meV/atom

Geometry as POSCAR:
```
LiLa2Mg
1.0
4.7645 0.0000 0.0000
0.0000 4.7645 0.0000
0.0000 0.0000 10.6006
Li La Mg
2 4 2
Direct
0.0000 0.0000 0.0000
0.5000 0.5000 0.5000
0.0000 0.0000 0.5000
0.0000 0.5000 0.2500
0.5000 0.0000 0.7500
0.5000 0.5000 0.0000
0.0000 0.5000 0.7500
0.5000 0.0000 0.2500
```

(15)
First-principles (PBE) data for crystalline KPbO2 at its relaxed geometry, as listed in Alexandria via LeMat-Bulk.

Properties
VASP energy	-0.32981	Ry/atom

Geometry as POSCAR:
```
KPbO2
1.0
3.1324 0.0000 0.0000
0.0000 3.1324 0.0000
0.0000 0.0000 6.5663
K Pb O
1 1 2
Direct
0.0000 0.0000 0.0000
0.0000 0.0000 0.5000
0.5000 0.5000 0.2932
0.5000 0.5000 0.7068
```

(16)
First-principles (PBE) data for crystalline Nd3Ge7Pd2 at its relaxed geometry, as listed in Alexandria via LeMat-Bulk.

Properties
VASP energy	-0.39773	Ry/atom

Geometry as POSCAR:
```
Nd3Ge7Pd2
1.0
4.4205 0.0000 0.0000
0.0000 4.3141 0.0000
-2.0882 0.0000 13.2044
Nd Ge Pd
3 7 2
Direct
0.0000 0.0000 0.0000
0.3097 0.5000 0.6326
0.6903 0.5000 0.3674
0.1601 0.5000 0.1709
0.2273 0.0000 0.4503
0.4098 0.0000 0.8285
0.5000 0.5000 0.0000
0.5902 0.0000 0.1715
0.7727 0.0000 0.5497
0.8399 0.5000 0.8291
0.1237 0.0000 0.2633
0.8763 0.0000 0.7367
```

(17)
First-principles (PBE) data for crystalline BeCOF2 at its relaxed geometry, as listed in Alexandria via LeMat-Bulk.

Properties
ΔE to the lowest computed polymorph	0.0	meV/atom

Geometry as POSCAR:
```
BeCOF2
1.0
3.1072 0.0000 0.0000
0.0000 3.1072 0.0000
0.0000 0.0000 4.8876
Be C O F
1 1 1 2
Direct
0.0000 0.0000 0.0000
0.5000 0.5000 0.5000
0.0000 0.0000 0.5000
0.0000 0.5000 0.0000
0.5000 0.0000 0.0000
```

(18)
First-principles (PBE) data for crystalline LaTb6Sm2 at its relaxed geometry, as listed in Alexandria via LeMat-Bulk.

Properties
ΔE to the lowest computed polymorph	0.0	meV/atom

Geometry as POSCAR:
```
LaTb6Sm2
1.0
3.6028 0.0000 0.0000
-0.0152 8.8223 0.0000
-1.7935 -0.0188 9.3370
La Tb Sm
1 6 2
Direct
0.0000 0.0000 0.0000
0.1130 0.6668 0.2257
0.2221 0.3347 0.4450
0.3315 0.0001 0.6624
0.6685 0.9999 0.3376
0.7779 0.6653 0.5550
0.8870 0.3332 0.7743
0.4437 0.6636 0.8874
0.5563 0.3364 0.1126
```

(19)
First-principles (PBE) data for crystalline RbMgCoH2 at its relaxed geometry, as listed in Alexandria via LeMat-Bulk.

Properties
VASP energy	-0.18677	Ry/atom

Geometry as POSCAR:
```
RbMgCoH2
1.0
4.3601 0.0000 0.0000
0.0000 4.3601 0.0000
0.0000 0.0000 5.2785
Rb Mg Co H
1 1 1 2
Direct
0.0000 0.0000 0.0000
0.5000 0.5000 0.5000
0.5000 0.5000 0.0000
0.0000 0.5000 0.5000
0.5000 0.0000 0.5000
```

(20)
First-principles (PBE) data for crystalline Er3Sc4 at its relaxed geometry, as listed in Alexandria via LeMat-Bulk.

Properties
VASP energy	-0.40584	Ry/atom

Geometry as POSCAR:
```
Er3Sc4
1.0
3.3933 0.0000 0.0000
0.0000 4.6864 0.0000
0.0000 0.0000 23.7375
Er Sc
6 8
Direct
0.0000 0.0000 0.0000
0.0000 0.0000 0.1438
0.0000 0.0000 0.8562
0.5000 0.5000 0.3562
0.5000 0.5000 0.5000
0.5000 0.5000 0.6438
0.0000 0.0000 0.2838
0.0000 0.0000 0.4277
0.0000 0.0000 0.5723
0.0000 0.0000 0.7162
0.5000 0.5000 0.0723
0.5000 0.5000 0.2162
0.5000 0.5000 0.7838
0.5000 0.5000 0.9277
```